1.
Here is a relaxed Li7Zn2Sn crystal from Alexandria. Energies are from GGA-PBE.

Cell and atoms, written as CIF:
```
data_Li7Zn2Sn
_chemical_formula_sum 'Li14 Zn4 Sn2'
_space_group_name_H-M_alt 'C m m m'
_space_group_IT_number 65
_space_group_name_Hall '-C 2 2'
_cell_length_a 7.3450
_cell_length_b 13.7859
_cell_length_c 4.3102
_cell_angle_alpha 90.00
_cell_angle_beta 90.00
_cell_angle_gamma 90.00
loop_
_atom_site_label
_atom_site_type_symbol
_atom_site_fract_x
_atom_site_fract_y
_atom_site_fract_z
Li1 Li 0.0000 0.0000 0.0000
Li2 Li 0.0000 0.2937 0.5000
Li3 Li 0.1830 0.3888 0.0000
Zn1 Zn 0.0000 0.1965 0.0000
Sn1 Sn 0.0000 0.5000 0.5000
```

---

2.
Here is a relaxed AcPuMgZn crystal from Alexandria. Energies are from GGA-PBE.

Cell and atoms, written as CIF:
```
data_AcPuMgZn
_chemical_formula_sum 'Ac4 Pu4 Mg4 Zn4'
_space_group_name_H-M_alt 'F -4 3 m'
_space_group_IT_number 216
_space_group_name_Hall 'F -4 2 3'
_cell_length_a 7.7268
_cell_length_b 7.7268
_cell_length_c 7.7268
_cell_angle_alpha 90.00
_cell_angle_beta 90.00
_cell_angle_gamma 90.00
loop_
_atom_site_label
_atom_site_type_symbol
_atom_site_fract_x
_atom_site_fract_y
_atom_site_fract_z
Ac1 Ac 0.0000 0.0000 0.0000
Pu1 Pu 0.0000 0.0000 0.5000
Mg1 Mg 0.2500 0.2500 0.2500
Zn1 Zn 0.2500 0.2500 0.7500
```

---

| no. | energy of formation from the pure elements (eV/atom) | volume (Å³/f.u.) | magnetization (μB per formula unit) |
| --- | --- | --- | --- |
| 1 | 0.06 | 218.2 | 0.0 |
| 2 | 0.06 | 115.3 | 6.3 |